1.
A plane-wave DFT calculation with GGA-PBE was carried out for crystalline Rb2SnHg6 at its relaxed geometry.

The value obtained for the formation energy is -0.20 eV/atom. The crystal system is monoclinic.

The space group is C2/m (No. 12) and the conventional cell measures 12.4070, 7.1598 and 6.5004 Å, with angles of 90.00, 90.12 and 90.00 degrees. The asymmetric unit holds Rb at (0.1673, 0.0000, 0.3404), Sn at (0.0000, 0.5000, 0.5000), Hg at (0.0904, 0.2275, 0.8351) and Hg at (0.1809, 0.5000, 0.1639).

2.
A plane-wave DFT calculation with GGA-PBE was carried out for crystalline Rb5Sn2Hg12 at its relaxed geometry.

The value obtained for the formation energy is -0.17 eV/atom. The crystal system is monoclinic.

The space group is C2/m (No. 12) and the conventional cell measures 21.2322, 7.7319 and 8.6633 Å, with angles of 90.00, 107.25 and 90.00 degrees. The asymmetric unit holds Rb at (0.0000, 0.0000, 0.0000), Rb at (0.1823, 0.5000, 0.5569), Rb at (0.2303, 0.0000, 0.8879), Sn at (0.0000, 0.3041, 0.5000), Hg at (0.0445, 0.5000, 0.1829), Hg at (0.0914, 0.0000, 0.4575), Hg at (0.1005, 0.3027, 0.8423) and Hg at (0.1561, 0.2102, 0.2145).

3.
A plane-wave DFT calculation with GGA-PBE was carried out for crystalline RbSn3Hg at its relaxed geometry.

The value obtained for the distance to the lowest polymorph of the same formula is 85 meV per atom. The value obtained for the formation energy is -0.06 eV/atom. The crystal system is orthorhombic.

The space group is Pmn2_1 (No. 31) and the conventional cell measures 6.7532, 6.9858 and 6.9082 Å, with angles of 90.00, 90.00 and 90.00 degrees. The asymmetric unit holds Rb at (0.0000, 0.2342, 0.0000), Sn at (0.0000, 0.6000, 0.3557), Sn at (0.2388, 0.7420, 0.9910) and Hg at (0.0000, 0.9181, 0.6283).

4.
A plane-wave DFT calculation with GGA-PBE was carried out for crystalline Rb2Sn15Hg2 at its relaxed geometry.

The value obtained for the formation energy is 0.00 eV/atom. The crystal system is trigonal.

The space group is R-3m (No. 166, hexagonal axes) and the conventional cell measures 11.0574, 11.0574 and 16.5888 Å, with angles of 90.00, 90.00 and 120.00 degrees. The asymmetric unit holds Rb at (0.0000, 0.0000, 0.1645), Sn at (0.0000, 0.2942, 0.5000), Sn at (0.0000, 0.5000, 0.0000), Sn at (0.0049, 0.5024, 0.6493) and Hg at (0.0000, 0.0000, 0.4018).